1.
DFT (GGA-PBE) results for crystalline CsCr2Ni at its relaxed geometry.

a b c (Å): 4.9404 4.9404 4.9404
angles (deg): 60.00 60.00 60.00
Element x y z (fractional)
Cs 0.0000 0.0000 0.0000
Cr 0.2500 0.2500 0.2500
Cr 0.7500 0.7500 0.7500
Ni 0.5000 0.5000 0.5000

Computed properties:
Size of the total moment: 8.984 μB per cell
Symmetry: Fm-3m
Calculated formation energy: 1.627 eV per atom


2.
DFT (GGA-PBE) results for crystalline CsCrNi2 at its relaxed geometry.

a b c (Å): 4.7428 4.7428 4.7428
angles (deg): 60.00 60.00 60.00
Element x y z (fractional)
Cs 0.0000 0.0000 0.0000
Cr 0.5000 0.5000 0.5000
Ni 0.2500 0.2500 0.2500
Ni 0.7500 0.7500 0.7500

Computed properties:
Size of the total moment: 4.770 μB per cell
Symmetry: Fm-3m
Calculated formation energy: 1.381 eV per atom


Q: Which of these has the highest calculated formation energy?
A: CsCr2Ni


Q: Among the records above, which one has the lowest calculated formation energy?
A: CsCrNi2


Q: Which value of calculated formation energy does entry 2 give?
A: 1.381 eV per atom


Q: What is the formula in the second record?
A: CsCrNi2